First-principles (PBE) data for a relaxed CdSbCl2 crystal, as listed in the Alexandria database.

Computed properties:
Formation energy from raw total energies   -337 meV per atom
DFT total energy   -10.08 eV per cell
Distance to the lowest polymorph of the same formula   165.8 meV/atom
DOS at the Fermi energy   0.3303 states/eV/atom

Cell lengths 3.4959, 3.4959, 8.6027 Å; angles 90.00, 90.00, 90.00 degrees
Closest atoms and distances in Å follow each position.
Space group P4mm (No. 99)
Asymmetric unit:
Cd 0.0000 0.0000 0.0000 [1 per cell]  4 Cl 2.84
Sb 0.5000 0.5000 0.7540 [1 per cell]  4 Cl 3.01, 4 Cd 3.25
Cl 0.0000 0.0000 0.5533 [1 per cell]  4 Sb 3.01
Cl 0.5000 0.5000 0.1636 [1 per cell]  4 Cd 2.84

***

First-principles (PBE) data for a relaxed CdSb3Cl crystal, as listed in the Alexandria database.

Computed properties:
Formation energy from raw total energies   744 meV per atom
DFT total energy   -11.41 eV per cell
Distance to the lowest polymorph of the same formula   74.5 meV/atom
DOS at the Fermi energy   0.8724 states/eV/atom

Cell lengths 5.3714, 5.3714, 5.3714 Å; angles 90.00, 90.00, 90.00 degrees
Closest atoms and distances in Å follow each position.
Space group Pm-3m (No. 221)
Asymmetric unit:
Cd 0.0000 0.0000 0.0000 [1 per cell]  12 Sb 3.80
Sb 0.0000 0.5000 0.5000 [3 per cell]  2 Cl 2.69
Cl 0.5000 0.5000 0.5000 [1 per cell]  6 Sb 2.69

***

First-principles (PBE) data for a relaxed CdSbCl2 crystal, as listed in the Alexandria database.

Computed properties:
Formation energy from raw total energies   -380 meV per atom
DFT total energy   -20.50 eV per cell
Distance to the lowest polymorph of the same formula   123.1 meV/atom
DOS at the Fermi energy   0.2955 states/eV/atom

Cell lengths 3.8804, 6.4292, 9.4211 Å; angles 90.00, 90.00, 90.00 degrees
Closest atoms and distances in Å follow each position.
Space group Cmm2 (No. 35)
Asymmetric unit:
Cd 0.0000 0.0000 0.0000 [2 per cell]  2 Cl 2.55
Sb 0.0000 0.5000 0.2470 [2 per cell]  2 Cl 2.72, 2 Cd 3.03
Cl 0.0000 0.0000 0.4490 [2 per cell]  2 Sb 2.72
Cl 0.0000 0.5000 0.8241 [2 per cell]  2 Cd 2.55

***

First-principles (PBE) data for a relaxed CdSbCl2 crystal, as listed in the Alexandria database.

Computed properties:
Formation energy from raw total energies   -366 meV per atom
DFT total energy   -10.20 eV per cell
Distance to the lowest polymorph of the same formula   136.6 meV/atom
DOS at the Fermi energy   0.2898 states/eV/atom

Cell lengths 3.5106, 5.8252, 5.1556 Å; angles 90.00, 90.00, 90.00 degrees
Closest atoms and distances in Å follow each position.
Space group Pmm2 (No. 25)
Asymmetric unit:
Cd 0.0000 0.0000 0.0000 [1 per cell]  2 Cl 2.57-2.58
Sb 0.5000 0.5000 0.9886 [1 per cell]  2 Cl 2.47-2.69
Cl 0.0000 0.0000 0.4991 [1 per cell]  2 Cd 2.57-2.58
Cl 0.5000 0.5000 0.5104 [1 per cell]  2 Sb 2.47-2.69

***

First-principles (PBE) data for a relaxed Cd2Sb2Cl crystal, as listed in the Alexandria database.

Computed properties:
Formation energy from raw total energies   -3 meV per atom
DFT total energy   -23.87 eV per cell
Distance to the lowest polymorph of the same formula   189.0 meV/atom
DOS at the Fermi energy   0.4441 states/eV/atom

Cell lengths 8.8741, 8.8741, 3.3269 Å; angles 90.00, 90.00, 90.00 degrees
Closest atoms and distances in Å follow each position.
Space group P4/mbm (No. 127)
Asymmetric unit:
Cd 0.1529 0.3471 0.0000 [4 per cell]  6 Sb 3.02-3.14, 2 Cd 3.33
Sb 0.1467 0.6467 0.5000 [4 per cell]  6 Cd 3.02-3.14, 2 Sb 3.33
Cl 0.0000 0.0000 0.5000 [2 per cell]  2 Cl 3.33, 4 Sb 3.39

***

First-principles (PBE) data for a relaxed CdSbCl5 crystal, as listed in the Alexandria database.

Computed properties:
Formation energy from raw total energies   -919 meV per atom
DFT total energy   -82.82 eV per cell
DOS at the Fermi energy   0.0000 states/eV/atom

Cell lengths 9.0468, 13.1729, 8.5601 Å; angles 90.00, 103.72, 90.00 degrees
Closest atoms and distances in Å follow each position.
Space group P2_1/c (No. 14)
Asymmetric unit:
Cd 0.0974 0.2486 0.1492 [4 per cell]  4 Cl 2.52-2.53
Sb 0.4988 0.5018 0.7493 [4 per cell]  4 Cl 2.43-2.68
Cl 0.0559 0.7455 0.1392 [4 per cell]  2 Cd 2.53
Cl 0.2157 0.0747 0.1755 [4 per cell]  1 Cd 2.52, 1 Sb 2.68
Cl 0.2205 0.0786 0.6825 [4 per cell]  1 Cd 2.52, 1 Sb 2.67
Cl 0.4177 0.6213 0.9290 [4 per cell]  1 Sb 2.43
Cl 0.4175 0.6216 0.5293 [4 per cell]  1 Sb 2.43

***

First-principles (PBE) data for a relaxed Cd2SbCl crystal, as listed in the Alexandria database.

Computed properties:
Formation energy from raw total energies   -43 meV per atom
DFT total energy   -7.97 eV per cell
Distance to the lowest polymorph of the same formula   341.7 meV/atom
DOS at the Fermi energy   0.4141 states/eV/atom

Cell lengths 3.1535, 5.1932, 5.9856 Å; angles 90.00, 90.00, 90.00 degrees
Closest atoms and distances in Å follow each position.
Space group Pmmm (No. 47)
Asymmetric unit:
Cd 0.0000 0.0000 0.0000 [1 per cell]  6 Cd 3.04-3.15, 4 Cl 3.38
Cd 0.5000 0.5000 0.0000 [1 per cell]  6 Cd 3.04-3.15, 4 Sb 3.38
Sb 0.0000 0.5000 0.5000 [1 per cell]  4 Cl 3.04, 2 Sb 3.15, 4 Cd 3.38
Cl 0.5000 0.0000 0.5000 [1 per cell]  4 Sb 3.04, 2 Cl 3.15, 4 Cd 3.38

***

First-principles (PBE) data for a relaxed Cd2SbCl crystal, as listed in the Alexandria database.

Computed properties:
Formation energy from raw total energies   -230 meV per atom
DFT total energy   -26.15 eV per cell
Distance to the lowest polymorph of the same formula   154.7 meV/atom
DOS at the Fermi energy   0.2572 states/eV/atom

Cell lengths 4.3217, 4.3217, 21.5025 Å; angles 90.00, 90.00, 120.00 degrees
Closest atoms and distances in Å follow each position.
Space group R3m (No. 160, hexagonal axes)
Asymmetric unit:
Cd 0.0000 0.0000 0.0000 [3 per cell]  3 Cl 2.99, 3 Sb 2.99
Cd 0.0000 0.0000 0.1892 [3 per cell]  3 Sb 2.89
Sb 0.0000 0.0000 0.5902 [3 per cell]  6 Cd 2.89-2.99
Cl 0.0000 0.0000 0.4095 [3 per cell]  3 Cd 2.99

***

First-principles (PBE) data for a relaxed CdSiSbCl2 crystal, as listed in the Alexandria database.

Computed properties:
Formation energy from raw total energies   -152 meV per atom
DFT total energy   -14.92 eV per cell
DOS at the Fermi energy   0.3372 states/eV/atom

Cell lengths 4.7240, 4.7240, 5.6611 Å; angles 90.00, 90.00, 90.00 degrees
Closest atoms and distances in Å follow each position.
Space group P4/mmm (No. 123)
Asymmetric unit:
Cd 0.0000 0.0000 0.0000 [1 per cell]  4 Sb 3.34, 8 Cl 3.69
Si 0.5000 0.5000 0.5000 [1 per cell]  4 Cl 2.36
Sb 0.5000 0.5000 0.0000 [1 per cell]  2 Si 2.83
Cl 0.0000 0.5000 0.5000 [2 per cell]  2 Si 2.36

***

First-principles (PBE) data for a relaxed CdSnSbCl crystal, as listed in the Alexandria database.

Computed properties:
Formation energy from raw total energies   -350 meV per atom
DFT total energy   -24.58 eV per cell
DOS at the Fermi energy   0.0002 states/eV/atom

Cell lengths 7.4653, 4.3104, 8.8333 Å; angles 90.00, 90.06, 90.00 degrees
Closest atoms and distances in Å follow each position.
Space group Cm (No. 8)
Asymmetric unit:
Cd 0.0000 0.0000 0.0000 [2 per cell]  3 Cl 2.74, 1 Sn 2.78
Sn 0.4992 0.5000 0.6851 [2 per cell]  1 Cd 2.78, 3 Sb 2.84
Sb 0.3324 0.0000 0.5295 [2 per cell]  3 Sn 2.84
Cl 0.1667 0.5000 0.1310 [2 per cell]  3 Cd 2.74

***

First-principles (PBE) data for a relaxed SrCdSbCl crystal, as listed in the Alexandria database.

Computed properties:
Formation energy from raw total energies   -1203 meV per atom
DFT total energy   -26.76 eV per cell
DOS at the Fermi energy   0.0879 states/eV/atom

Cell lengths 4.7140, 4.7140, 10.2984 Å; angles 90.00, 90.00, 90.00 degrees
Closest atoms and distances in Å follow each position.
Space group P4/nmm (No. 129, origin choice 2)
Asymmetric unit:
Sr 0.2500 0.2500 0.1743 [2 per cell]  4 Cl 2.96
Cd 0.2500 0.7500 0.5000 [2 per cell]  4 Sb 3.00, 4 Cd 3.33
Sb 0.2500 0.2500 0.6799 [2 per cell]  4 Cd 3.00
Cl 0.2500 0.7500 0.0000 [2 per cell]  4 Sr 2.96

***

First-principles (PBE) data for a relaxed CdSb2TeCl crystal, as listed in the Alexandria database.

Computed properties:
Formation energy from raw total energies   694 meV per atom
DFT total energy   -10.68 eV per cell
Distance to the lowest polymorph of the same formula   104.7 meV/atom
DOS at the Fermi energy   1.0367 states/eV/atom

Cell lengths 5.2976, 5.2976, 5.6847 Å; angles 90.00, 90.00, 90.00 degrees
Closest atoms and distances in Å follow each position.
Space group P4/mmm (No. 123)
Asymmetric unit:
Cd 0.0000 0.0000 0.0000 [1 per cell]  4 Te 3.75, 8 Sb 3.89
Sb 0.0000 0.5000 0.5000 [2 per cell]  2 Cl 2.65
Te 0.5000 0.5000 0.0000 [1 per cell]  2 Cl 2.84
Cl 0.5000 0.5000 0.5000 [1 per cell]  4 Sb 2.65, 2 Te 2.84

***

> Look up the DOS at the Fermi energy of the tenth one.

0.0002 states/eV/atom